A plane-wave DFT calculation with PBE was carried out for an optimized crystal structure of CoSiTc2.

```
data_CoSiTc2
_chemical_formula_sum 'Co4 Si4 Tc8'
_cell_length_a 5.6064
_cell_length_b 5.6064
_cell_length_c 9.3173
_cell_angle_alpha 90.00
_cell_angle_beta 90.00
_cell_angle_gamma 90.00
_space_group_name_H-M_alt 'I -4 2 d'
_space_group_IT_number 122
_space_group_name_Hall 'I -4 2bw'
loop_
_atom_site_label
_atom_site_fract_x
_atom_site_fract_y
_atom_site_fract_z
Co1 0.0000 0.0000 0.0000
Si1 0.0000 0.0000 0.5000
Tc1 0.2307 0.2500 0.1250
```

For the total energy, the calculation gives -7.322 eV/atom. As for the density of states at the Fermi level: 4.3 states/eV/f.u. The magnetization comes out at 0.000 μB/cell.



A plane-wave DFT calculation with PBE was carried out for an optimized crystal structure of K2VS5.

```
data_K2VS5
_chemical_formula_sum 'K2 V1 S5'
_cell_length_a 5.1995
_cell_length_b 6.2612
_cell_length_c 7.8390
_cell_angle_alpha 68.28
_cell_angle_beta 72.11
_cell_angle_gamma 89.69
_space_group_name_H-M_alt 'P 1'
_space_group_IT_number 1
loop_
_space_group_symop_operation_xyz
'x,y,z'
loop_
_atom_site_label
_atom_site_fract_x
_atom_site_fract_y
_atom_site_fract_z
K1 0.0000 0.0000 0.0000
K2 0.2939 0.3306 0.4032
V1 0.6253 0.5277 0.7408
S1 0.2397 0.5275 0.9673
S2 0.5983 0.8031 0.4478
S3 0.6283 0.2008 0.7170
S4 0.7972 0.5049 0.9749
S5 0.9768 0.8035 0.4896
```

For the total energy, the calculation gives -4.812 eV/atom. As for the density of states at the Fermi level: 1.9 states/eV/f.u. The magnetization comes out at 0.000 μB/cell.



What did the second record say?
A plane-wave DFT calculation with PBE was carried out for an optimized crystal structure of K2VS5.

```
data_K2VS5
_chemical_formula_sum 'K2 V1 S5'
_cell_length_a 5.1995
_cell_length_b 6.2612
_cell_length_c 7.8390
_cell_angle_alpha 68.28
_cell_angle_beta 72.11
_cell_angle_gamma 89.69
_space_group_name_H-M_alt 'P 1'
_space_group_IT_number 1
loop_
_space_group_symop_operation_xyz
'x,y,z'
loop_
_atom_site_label
_atom_site_fract_x
_atom_site_fract_y
_atom_site_fract_z
K1 0.0000 0.0000 0.0000
K2 0.2939 0.3306 0.4032
V1 0.6253 0.5277 0.7408
S1 0.2397 0.5275 0.9673
S2 0.5983 0.8031 0.4478
S3 0.6283 0.2008 0.7170
S4 0.7972 0.5049 0.9749
S5 0.9768 0.8035 0.4896
```

For the total energy, the calculation gives -4.812 eV/atom. As for the density of states at the Fermi level: 1.9 states/eV/f.u. The magnetization comes out at 0.000 μB/cell.